KInF5 | PBE-GGA | optimized geometry

abc: 10.270 7.461 8.411
angles: 90.00 113.37 90.00
Space group C2/c (No. 15)
One atom of each set of equivalent atoms:
K 0.000 0.043 0.250 x4
In 0.000 0.500 0.000 x4
F 0.000 0.438 0.250 x4
F 0.010 0.224 0.969 x8
F 0.219 0.473 0.611 x8

Properties
* total energy: -113.9 eV for the cell shown
* crystal system: monoclinic
* mass density: 2.79 g cm⁻³
* formation energy (no corrections): -2.1840 eV per atom